[1]
# Be2AlIn

A relaxed structure of Be2AlIn (PBE, Alexandria).

Structure (extended XYZ):
```
4
Lattice="2.794 0.000 0.000 0.000 3.730 0.000 -0.085 0.000 5.762" Properties=species:S:1:pos:R:3 pbc="T T T"
Be 0.010 0.000 1.095
Be 2.699 0.000 4.667
Al 1.397 1.865 0.000
In 1.354 1.865 2.881
```

Calculated values
Space-group type = P2/m
ΔE_f = 414 meV/atom



[2]
# Be2AlIn

A relaxed structure of Be2AlIn (PBE, Alexandria).

Structure (extended XYZ):
```
4
Lattice="4.002 -1.516 0.000 4.002 1.516 0.000 -1.080 0.000 5.053" Properties=species:S:1:pos:R:3 pbc="T T T"
Be 1.756 0.000 0.860
Be 5.169 0.000 4.192
Al 4.002 0.000 0.000
In -0.540 0.000 2.526
```

Calculated values
Space-group type = C2/m
ΔE_f = 387 meV/atom



[3]
# BeAl2In

A relaxed structure of BeAl2In (PBE, Alexandria).

Structure (extended XYZ):
```
4
Lattice="4.077 0.000 0.000 0.000 4.052 0.000 -1.646 0.000 4.552" Properties=species:S:1:pos:R:3 pbc="T T T"
Be 0.000 0.000 0.000
Al -0.707 2.026 3.614
Al 3.137 2.026 0.939
In 1.215 0.000 2.276
```

Calculated values
Space-group type = P2/m
ΔE_f = 334 meV/atom



[4]
# Be2AlIn

A relaxed structure of Be2AlIn (PBE, Alexandria).

Structure (extended XYZ):
```
4
Lattice="-1.420 1.947 5.622 1.420 -1.947 5.622 1.420 1.947 -5.622" Properties=species:S:1:pos:R:3 pbc="T T T"
Be 0.000 0.000 0.000
Be 0.000 1.947 3.843
Al 0.000 0.000 5.446
In 1.420 0.000 2.397
```

Calculated values
Space-group type = Imm2
ΔE_f = 390 meV/atom



[5]
# BeAl2In

A relaxed structure of BeAl2In (PBE, Alexandria).

Structure (extended XYZ):
```
4
Lattice="0.000 3.283 3.283 3.283 0.000 3.283 3.283 3.283 0.000" Properties=species:S:1:pos:R:3 pbc="T T T"
Be 0.000 0.000 0.000
Al 1.641 1.641 1.641
Al 4.924 4.924 4.924
In 3.283 3.283 3.283
```

Calculated values
Space-group type = Fm-3m
ΔE_f = 475 meV/atom



[6]
# BeAl2In

A relaxed structure of BeAl2In (PBE, Alexandria).

Structure (extended XYZ):
```
4
Lattice="4.268 -1.525 0.000 4.268 1.525 0.000 -1.996 0.000 5.539" Properties=species:S:1:pos:R:3 pbc="T T T"
Be 0.000 0.000 0.000
Al 0.407 0.000 5.180
Al 2.824 0.000 3.653
In 5.138 0.000 2.064
```

Calculated values
Space-group type = Cm
ΔE_f = 276 meV/atom



Number 1: total energy -3.070 eV/atom, theoretical density 4419 kg/m³, excess energy over the best structure of this formula in the dataset 136.5 meV/atom. Number 2: total energy -3.096 eV/atom, theoretical density 4327 kg/m³, excess energy over the best structure of this formula in the dataset 110.2 meV/atom. Number 3: total energy -3.154 eV/atom, theoretical density 3926 kg/m³, excess energy over the best structure of this formula in the dataset 87.3 meV/atom. Number 4: total energy -3.093 eV/atom, theoretical density 4270 kg/m³, excess energy over the best structure of this formula in the dataset 113.2 meV/atom. Number 5: total energy -3.012 eV/atom, theoretical density 4173 kg/m³, excess energy over the best structure of this formula in the dataset 228.6 meV/atom. Number 6: total energy -3.212 eV/atom, theoretical density 4094 kg/m³, excess energy over the best structure of this formula in the dataset 29.0 meV/atom.